No. 1
Here is a geometry-optimized CsSiB structure from Alexandria. Energies are from PBE-GGA. Values from VASP.

Properties
**V**: 27.519 Å³/atom
**Uncorrected formation energy**: 369.5 meV/atom
**Total moment**: 0.0 μB/cell
**DOS at the Fermi energy**: 0.0328 states/eV/atom

The structure in Quantum ESPRESSO input format:
```
&SYSTEM
  ibrav = 0, nat = 12, ntyp = 3
/
ATOMIC_SPECIES
Cs 132.91 Cs.upf
Si 28.09 Si.upf
B 10.81 B.upf
CELL_PARAMETERS angstrom
10.958 0.000 0.000
0.000 3.863 0.000
0.000 0.000 7.802
ATOMIC_POSITIONS angstrom
Cs 2.005 0.966 0.029
Cs 3.473 2.897 3.930
Cs 7.484 0.966 3.872
Cs 8.952 2.897 7.773
Si 0.121 0.966 3.077
Si 5.358 2.897 6.978
Si 5.600 0.966 0.824
Si 10.837 2.897 4.726
B 0.217 2.897 2.691
B 5.262 0.966 6.592
B 5.696 2.897 1.210
B 10.740 0.966 5.111
```

No. 2
Here is a geometry-optimized CsSi2B structure from Alexandria. Energies are from PBE-GGA. Values from VASP.

Properties
**V**: 23.287 Å³/atom
**Uncorrected formation energy**: 649.3 meV/atom
**Total moment**: 0.0 μB/cell
**DOS at the Fermi energy**: 0.3053 states/eV/atom

The structure in Quantum ESPRESSO input format:
```
&SYSTEM
  ibrav = 0, nat = 16, ntyp = 3
/
ATOMIC_SPECIES
Cs 132.91 Cs.upf
Si 28.09 Si.upf
B 10.81 B.upf
CELL_PARAMETERS angstrom
5.234 0.000 0.000
0.000 5.234 0.000
0.000 0.000 13.602
ATOMIC_POSITIONS angstrom
Cs 0.000 1.308 5.101
Cs 0.000 3.925 8.501
Cs 2.617 1.308 1.700
Cs 2.617 3.925 11.902
Si 0.000 0.000 0.000
Si 0.000 2.617 0.000
Si 1.308 1.308 10.202
Si 1.308 3.925 3.401
Si 2.617 0.000 6.801
Si 2.617 2.617 6.801
Si 3.925 1.308 10.202
Si 3.925 3.925 3.401
B 0.000 1.308 11.902
B 0.000 3.925 1.700
B 2.617 1.308 8.501
B 2.617 3.925 5.101
```

No. 3
Here is a geometry-optimized CsSiB structure from Alexandria. Energies are from PBE-GGA. Values from VASP.

Properties
**V**: 26.740 Å³/atom
**Uncorrected formation energy**: 358.7 meV/atom
**Total moment**: 0.0 μB/cell
**DOS at the Fermi energy**: 0.3813 states/eV/atom

The structure in Quantum ESPRESSO input format:
```
&SYSTEM
  ibrav = 0, nat = 12, ntyp = 3
/
ATOMIC_SPECIES
Cs 132.91 Cs.upf
Si 28.09 Si.upf
B 10.81 B.upf
CELL_PARAMETERS angstrom
7.818 0.000 0.000
0.000 3.803 0.000
0.000 0.000 10.791
ATOMIC_POSITIONS angstrom
Cs 0.021 0.951 2.037
Cs 3.888 2.852 7.432
Cs 3.930 0.951 3.359
Cs 7.797 2.852 8.755
Si 0.902 2.852 5.245
Si 3.007 0.951 10.640
Si 4.811 2.852 0.151
Si 6.917 0.951 5.546
B 1.192 0.951 5.690
B 2.717 2.852 0.294
B 5.101 0.951 10.497
B 6.627 2.852 5.102
```

No. 4
Here is a geometry-optimized CsSi3B structure from Alexandria. Energies are from PBE-GGA. Values from VASP.

Properties
**V**: 20.018 Å³/atom
**Energy relative to the lowest polymorph listed for this composition**: 0 meV/atom
**Uncorrected formation energy**: 1128.8 meV/atom
**Total moment**: 0.0 μB/cell
**DOS at the Fermi energy**: 0.4681 states/eV/atom

The structure in Quantum ESPRESSO input format:
```
&SYSTEM
  ibrav = 0, nat = 5, ntyp = 3
/
ATOMIC_SPECIES
Cs 132.91 Cs.upf
Si 28.09 Si.upf
B 10.81 B.upf
CELL_PARAMETERS angstrom
4.643 0.000 0.000
0.000 4.643 0.000
0.000 0.000 4.643
ATOMIC_POSITIONS angstrom
Cs 0.000 0.000 0.000
Si 0.000 2.321 2.321
Si 2.321 0.000 2.321
Si 2.321 2.321 0.000
B 2.321 2.321 2.321
```

Among the records above, which one has the highest V? number 1